DFT (PBE-GGA) results for BaSbAu after structural relaxation.

Geometry as CIF:
```
data_BaSbAu
_chemical_formula_sum 'Ba2 Sb2 Au2'
_space_group_name_H-M_alt 'P 63/m m c'
_space_group_IT_number 194
_space_group_name_Hall '-P 6c 2c'
_cell_length_a 4.8200
_cell_length_b 4.8200
_cell_length_c 9.4657
_cell_angle_alpha 90.00
_cell_angle_beta 90.00
_cell_angle_gamma 120.00
loop_
_atom_site_label
_atom_site_type_symbol
_atom_site_fract_x
_atom_site_fract_y
_atom_site_fract_z
Ba1 Ba 0.0000 0.0000 0.0000
Sb1 Sb 0.3333 0.6667 0.2500
Au1 Au 0.3333 0.6667 0.7500
```

=====

DFT (PBE-GGA) results for Y2Ag2Sn after structural relaxation.

Geometry as CIF:
```
data_Y2Ag2Sn
_chemical_formula_sum 'Y4 Ag4 Sn2'
_space_group_name_H-M_alt 'I 4/m m m'
_space_group_IT_number 139
_space_group_name_Hall '-I 4 2'
_cell_length_a 4.914
_cell_length_b 4.914
_cell_length_c 11.191
_cell_angle_alpha 90.00
_cell_angle_beta 90.00
_cell_angle_gamma 90.00
loop_
_atom_site_label
_atom_site_type_symbol
_atom_site_fract_x
_atom_site_fract_y
_atom_site_fract_z
Y1 Y 0.000 0.500 0.250
Ag1 Ag 0.000 0.000 0.114
Sn1 Sn 0.000 0.000 0.500
```

=====

| no. | total DFT energy (no corrections) (eV/atom) |
| --- | --- |
| 1 | -4.034 |
| 2 | -4.555 |